# 1
An optimized crystal structure of ZnC3S. Source: Alexandria, functional PBE.

a = 3.6346 Å, b = 3.6346 Å, c = 3.6346 Å
α = 90.00°, β = 90.00°, γ = 90.00°
Last column: nearest neighbours and their distance in Å.
Positions (direct):
Zn 0.0000 0.0000 0.0000  12 C 2.57
C 0.0000 0.5000 0.5000  2 S 1.82
C 0.5000 0.0000 0.5000  2 S 1.82
C 0.5000 0.5000 0.0000  2 S 1.82
S 0.5000 0.5000 0.5000  6 C 1.82

Summary:
DOS(E_F)	2.47	states/eV per cell
formation energy without anion corrections	2526	meV/atom
SG	Pm-3m, No. 221
DFT total energy	-4.089	eV per atom
size of the total moment	0.000	μB per formula unit

=====

# 2
An optimized crystal structure of ZnC2S. Source: Alexandria, functional PBE.

a = 3.9282 Å, b = 3.9282 Å, c = 3.9282 Å
α = 60.00°, β = 60.00°, γ = 60.00°
Last column: nearest neighbours and their distance in Å.
Positions (direct):
Zn 0.0000 0.0000 0.0000  8 C 2.41
C 0.2500 0.2500 0.2500  4 S 2.41, 4 Zn 2.41
C 0.7500 0.7500 0.7500  4 Zn 2.41, 4 S 2.41
S 0.5000 0.5000 0.5000  8 C 2.41

Summary:
DOS(E_F)	1.62	states/eV per cell
formation energy without anion corrections	2498	meV/atom
SG	Fm-3m, No. 225
DFT total energy	-3.464	eV per atom
size of the total moment	0.000	μB per formula unit

=====

# 3
An optimized crystal structure of ZnC3S. Source: Alexandria, functional PBE.

a = 3.9963 Å, b = 3.9963 Å, c = 3.9963 Å
α = 90.00°, β = 90.00°, γ = 90.00°
Last column: nearest neighbours and their distance in Å.
Positions (direct):
Zn 0.0000 0.0000 0.0000  6 C 2.00
C 0.0000 0.0000 0.5000  2 Zn 2.00
C 0.0000 0.5000 0.0000  2 Zn 2.00
C 0.5000 0.0000 0.0000  2 Zn 2.00
S 0.5000 0.5000 0.5000  12 C 2.83

Summary:
DOS(E_F)	4.16	states/eV per cell
formation energy without anion corrections	3169	meV/atom
SG	Pm-3m, No. 221
DFT total energy	-3.446	eV per atom
size of the total moment	0.001	μB per formula unit

=====

# 4
An optimized crystal structure of ZnC2S. Source: Alexandria, functional PBE.

a = 5.1883 Å, b = 5.1883 Å, c = 5.1883 Å
α = 127.90°, β = 127.90°, γ = 76.78°
Last column: nearest neighbours and their distance in Å.
Positions (direct):
Zn 0.0000 0.0000 0.0000  4 C 2.08
Zn 0.7500 0.2500 0.5000  4 C 2.08
C 0.1863 0.6250 0.0613  2 S 1.75
C 0.3750 0.4363 0.5613  2 S 1.75
C 0.5637 0.1250 0.9387  2 S 1.75
C 0.8750 0.8137 0.4387  2 S 1.75
S 0.2500 0.7500 0.5000  4 C 1.75
S 0.5000 0.5000 0.0000  4 C 1.75

Summary:
DOS(E_F)	0.00	states/eV per cell
formation energy without anion corrections	1008	meV/atom
SG	I-42d, No. 122
DFT total energy	-4.954	eV per atom
size of the total moment	0.000	μB per formula unit

=====

# 5
An optimized crystal structure of ZnCS3. Source: Alexandria, functional PBE.

a = 4.5971 Å, b = 4.5971 Å, c = 4.5971 Å
α = 90.00°, β = 90.00°, γ = 90.00°
Last column: nearest neighbours and their distance in Å.
Positions (direct):
Zn 0.0000 0.0000 0.0000  6 S 2.30
C 0.5000 0.5000 0.5000  12 S 3.25
S 0.0000 0.0000 0.5000  2 Zn 2.30
S 0.0000 0.5000 0.0000  2 Zn 2.30
S 0.5000 0.0000 0.0000  2 Zn 2.30

Summary:
DOS(E_F)	4.42	states/eV per cell
formation energy without anion corrections	1966	meV/atom
SG	Pm-3m, No. 221
DFT total energy	-2.610	eV per atom
size of the total moment	0.000	μB per formula unit

=====

# 6
An optimized crystal structure of ZnCS3. Source: Alexandria, functional PBE.

a = 4.1488 Å, b = 4.1488 Å, c = 4.1488 Å
α = 90.00°, β = 90.00°, γ = 90.00°
Last column: nearest neighbours and their distance in Å.
Positions (direct):
Zn 0.0000 0.0000 0.0000  12 S 2.93
C 0.5000 0.5000 0.5000  6 S 2.07
S 0.0000 0.5000 0.5000  2 C 2.07
S 0.5000 0.0000 0.5000  2 C 2.07
S 0.5000 0.5000 0.0000  2 C 2.07

Summary:
DOS(E_F)	2.92	states/eV per cell
formation energy without anion corrections	1116	meV/atom
SG	Pm-3m, No. 221
DFT total energy	-3.460	eV per atom
size of the total moment	0.000	μB per formula unit

=====

# 7
An optimized crystal structure of Zn2CS. Source: Alexandria, functional PBE.

a = 4.2316 Å, b = 4.2316 Å, c = 4.2316 Å
α = 60.00°, β = 60.00°, γ = 60.00°
Last column: nearest neighbours and their distance in Å.
Positions (direct):
Zn 0.2500 0.2500 0.2500  4 S 2.59, 4 C 2.59
Zn 0.7500 0.7500 0.7500  4 C 2.59, 4 S 2.59
C 0.0000 0.0000 0.0000  8 Zn 2.59
S 0.5000 0.5000 0.5000  8 Zn 2.59

Summary:
DOS(E_F)	2.12	states/eV per cell
formation energy without anion corrections	1274	meV/atom
SG	Fm-3m, No. 225
DFT total energy	-2.701	eV per atom
size of the total moment	0.000	μB per formula unit

=====

# 8
An optimized crystal structure of ZrZnC2S. Source: Alexandria, functional PBE.

a = 3.8801 Å, b = 3.8801 Å, c = 4.8969 Å
α = 90.00°, β = 90.00°, γ = 90.00°
Last column: nearest neighbours and their distance in Å.
Positions (direct):
Zr 0.0000 0.0000 0.0000  2 S 2.45
Zn 0.5000 0.5000 0.0000  4 Zr 2.74
C 0.0000 0.5000 0.5000  2 S 1.94
C 0.5000 0.0000 0.5000  2 S 1.94
S 0.0000 0.0000 0.5000  4 C 1.94

Summary:
DOS(E_F)	2.74	states/eV per cell
formation energy without anion corrections	1728	meV/atom
SG	P4/mmm, No. 123
DFT total energy	-4.752	eV per atom
size of the total moment	0.000	μB per formula unit